1.
Density functional theory data (GGA-PBE) for a relaxed RbMnBi2 crystal.

```
RbMnBi2
1.0
-3.608 3.608 6.645
3.608 -3.608 6.645
3.608 3.608 -6.645
Rb Mn Bi
2 2 4
Direct
0.375 0.625 0.750
0.625 0.375 0.250
0.125 0.875 0.250
0.875 0.125 0.750
0.000 0.000 0.000
0.000 0.000 0.500
0.000 0.500 0.000
0.500 0.000 0.500
```

* excess energy over the best structure of this formula in the dataset: 312 meV per atom
* symmetry: I4_1/amd, No. 141
* formation enthalpy at 0 K: 0.314 eV/atom
* total magnetization: 0.0 μB per cell

2.
Density functional theory data (GGA-PBE) for a relaxed RbMn2Bi2 crystal.

```
RbMn2Bi2
1.0
-2.331 2.331 7.209
2.331 -2.331 7.209
2.331 2.331 -7.209
Rb Mn Bi
1 2 2
Direct
0.000 0.000 0.000
0.250 0.750 0.500
0.750 0.250 0.500
0.361 0.361 0.000
0.639 0.639 0.000
```

* excess energy over the best structure of this formula in the dataset: 0 meV per atom
* symmetry: I4/mmm, No. 139
* formation enthalpy at 0 K: 0.123 eV/atom
* total magnetization: 8.3 μB per cell